(1)
DFT (GGA-PBE) results for an optimized crystal structure of LiCaTeH.

The structure belongs to space group Pm (No. 6); the cell edges are 4.140, 4.489 and 4.811 Å and the angles 90.00°, 90.10° and 90.00°. Symmetry generates all atoms from Li at (0.000, 0.000, 0.000), Ca at (0.963, 0.500, 0.459), Te at (0.466, 0.500, 0.951) and H at (0.975, 0.000, 0.395).

The value obtained for the energy is -14.02 eV/cell. The energy above the most stable polymorph in this dataset is 33 meV/atom.

---

(2)
DFT (GGA-PBE) results for an optimized crystal structure of BeV4Ni2.

The structure belongs to space group I4/mmm (No. 139); the cell edges are 4.005, 4.005 and 11.809 Å and the angles 90.00°, 90.00° and 90.00°. Symmetry generates all atoms from Be at (0.000, 0.000, 0.000), V at (0.000, 0.000, 0.185), V at (0.000, 0.500, 0.000) and Ni at (0.000, 0.000, 0.374).

The value obtained for the energy is -95.32 eV/cell. The energy of formation is 4.10 eV per formula unit.

---

(3)
DFT (GGA-PBE) results for an optimized crystal structure of ZnInTc2.

The structure belongs to space group Fm-3m (No. 225); the cell edges are 6.345, 6.345 and 6.345 Å and the angles 90.00°, 90.00° and 90.00°. Symmetry generates all atoms from Zn at (0.000, 0.000, 0.000), In at (0.000, 0.000, 0.500) and Tc at (0.250, 0.250, 0.250).

The value obtained for the energy is -92.15 eV/cell. The energy above the most stable polymorph in this dataset is 361 meV/atom. The energy of formation is 1.71 eV per formula unit.

---

> Among the records above, which one has the lowest energy?

BeV4Ni2

---

> Which of these has the highest energy?

LiCaTeH

---

> Look up the energy of the second one.

-95.32 eV/cell